# Mg2ZnTc (GGA-PBE, optimized geometry)
data_Mg2ZnTc
_chemical_formula_sum 'Mg2 Zn1 Tc1'
_symmetry_space_group_name_H-M 'P 4/m m m'
_symmetry_Int_Tables_number 123
_symmetry_space_group_name_Hall '-P 4 2'
_cell_length_a 4.0263
_cell_length_b 4.0263
_cell_length_c 4.0303
_cell_angle_alpha 90.00
_cell_angle_beta 90.00
_cell_angle_gamma 90.00
loop_
_atom_site_label
_atom_site_type_symbol
_atom_site_fract_x
_atom_site_fract_y
_atom_site_fract_z
Mg1 Mg 0.0000 0.5000 0.0000
Zn1 Zn 0.0000 0.0000 0.5000
Tc1 Tc 0.5000 0.5000 0.5000
# **Excess energy over the best structure of this formula in the dataset**: 0.0 meV per atom
# **Electronic total energy**: -3.62 eV per atom
# **Total magnetization**: 0.8 μB/cell
# **Energy relative to the elements**: 0.08 eV/atom